Material: TlAsSe2Cl
Method: DFT, PBE
State: optimized geometry

Output
- crystal system = tetragonal
- energy relative to the elements, uncorrected (eV per atom) = 0.87
- distance to the lowest polymorph of the same formula (meV per atom) = 222

Structure (POSCAR):
```
TlAsSe2Cl
1.0
5.3185 0.0000 0.0000
0.0000 5.3185 0.0000
0.0000 0.0000 5.5953
Tl As Se Cl
1 1 2 1
direct
0.0000 0.0000 0.0000
0.0000 0.0000 0.5000
0.0000 0.5000 0.0000
0.5000 0.0000 0.0000
0.5000 0.5000 0.5000
```